The following is a DFT calculation (PBE-GGA) of a relaxed structure of Pt2PbCl.

```
data_Pt2PbCl
_symmetry_space_group_name_H-M 'C m m m'
_symmetry_Int_Tables_number 65
_symmetry_space_group_name_Hall '-C 2 2'
_cell_length_a 3.749
_cell_length_b 5.622
_cell_length_c 7.753
_cell_angle_alpha 90.00
_cell_angle_beta 90.00
_cell_angle_gamma 90.00
loop_
_atom_site_label
_atom_site_type_symbol
_atom_site_fract_x
_atom_site_fract_y
_atom_site_fract_z
Pt1 Pt 0.000 0.000 0.248
Pb1 Pb 0.000 0.500 0.000
Cl1 Cl 0.000 0.500 0.500
```

Results
E: -4.11 eV per atom
Raw formation energy: 300 meV/atom